No. 1
DFT (GGA-PBE) results for a relaxed structure of Tl4Cu3PbCl12. Values from VASP.

Output
- Space-group type: Im-3m (229)
- ΔE_f (raw): -0.76 eV per atom

Cell and atoms, written as Quantum ESPRESSO input:
```
&SYSTEM
  ibrav = 0, nat = 20, ntyp = 4
/
ATOMIC_SPECIES
Cl 35.45 Cl.upf
Tl 204.38 Tl.upf
Cu 63.55 Cu.upf
Pb 207.20 Pb.upf
ATOMIC_POSITIONS angstrom
Cl -3.253 4.544 0.886
Cl -4.540 1.833 2.836
Cl 1.024 1.078 5.460
Cl -1.910 7.048 -1.033
Cl -5.661 -0.853 4.649
Cl 1.611 0.744 2.098
Cl -2.109 -0.318 1.732
Cl 2.311 3.789 3.510
Cl 4.323 1.997 5.631
Cl -0.712 2.626 -0.385
Cl -2.402 0.100 5.122
Cl 0.173 5.522 1.223
Tl 2.771 3.396 -0.017
Tl -1.115 2.811 3.173
Tl -4.081 1.440 -0.692
Tl 0.196 -2.026 3.882
Cu -3.885 -0.585 3.190
Cu 2.967 1.370 3.864
Cu -1.311 4.837 -0.709
Pb 0.000 0.000 0.000
CELL_PARAMETERS angstrom
-8.163 2.881 -1.383
0.393 -4.052 7.764
5.541 6.792 -0.035
```



No. 2
DFT (GGA-PBE) results for a relaxed structure of TmCuPbCl6. Values from VASP.

Output
- Space-group type: P-31c (163)
- ΔE_f (raw): -1.45 eV per atom

Cell and atoms, written as Quantum ESPRESSO input:
```
&SYSTEM
  ibrav = 0, nat = 18, ntyp = 4
/
ATOMIC_SPECIES
Pb 207.20 Pb.upf
Cl 35.45 Cl.upf
Tm 168.93 Tm.upf
Cu 63.55 Cu.upf
ATOMIC_POSITIONS angstrom
Pb 0.000 0.000 0.000
Pb 0.000 0.000 6.439
Cl 2.159 3.662 8.185
Cl -0.943 5.691 1.746
Cl 4.457 3.662 11.133
Cl -1.149 2.068 1.746
Cl 4.251 0.039 11.133
Cl 2.092 3.701 1.746
Cl 0.943 5.691 4.693
Cl 1.216 2.029 11.133
Cl 1.149 2.068 4.693
Cl 2.365 0.039 8.185
Cl 5.400 2.029 8.185
Cl -2.092 3.701 4.693
Tm 0.000 3.820 9.659
Tm 3.308 1.910 3.220
Cu 3.308 1.910 9.659
Cu 0.000 3.820 3.220
CELL_PARAMETERS angstrom
6.616 0.000 0.000
-3.308 5.730 0.000
0.000 0.000 12.879
```